Entry from Alexandria: a relaxed structure of HfNiAu2O (GGA+U).

## Properties
- DOS at the Fermi energy (states/eV per atom) = 0.419
- uncorrected energy (eV/atom) = -4.967
- mass density (g cm⁻³) = 11.84

The structure in CIF format:
```
data_HfNiAu2O
_symmetry_space_group_name_H-M 'P 4/m m m'
_symmetry_Int_Tables_number 123
_symmetry_space_group_name_Hall '-P 4 2'
_cell_length_a 4.822
_cell_length_b 4.822
_cell_length_c 3.904
_cell_angle_alpha 90.00
_cell_angle_beta 90.00
_cell_angle_gamma 90.00
loop_
_atom_site_label
_atom_site_fract_x
_atom_site_fract_y
_atom_site_fract_z
Hf1 0.000 0.000 0.000
Ni1 0.500 0.500 0.000
Au1 0.000 0.500 0.500
O1 0.000 0.000 0.500
```